No. 1
The following is a PBE-GGA calculation of an optimized crystal structure of VPt2Rh6, from Alexandria. Values from VASP.

Summary:
The value obtained for the formation energy is 32.1 meV/atom. Its space-group type is C2/m (12). As for the spin magnetization: 0.000 μB/cell. Its energy above the most stable polymorph in this dataset is 118.3 meV per atom.

The structure in Quantum ESPRESSO input format:
```
&SYSTEM
  ibrav = 0, nat = 9, ntyp = 3
/
ATOMIC_SPECIES
V 50.94 V.upf
Pt 195.08 Pt.upf
Rh 102.91 Rh.upf
ATOMIC_POSITIONS crystal
V 0.0000 0.0000 0.0000
Pt 0.3542 0.3542 0.7024
Pt 0.6458 0.6458 0.2976
Rh 0.0636 0.0636 0.7966
Rh 0.1145 0.1145 0.5406
Rh 0.2471 0.2471 0.1403
Rh 0.7529 0.7529 0.8597
Rh 0.8855 0.8855 0.4594
Rh 0.9364 0.9364 0.2034
CELL_PARAMETERS angstrom
6.6896 -1.3578 0.0000
6.6896 1.3578 0.0000
-4.8710 0.0000 7.4236
```

No. 2
The following is a PBE-GGA calculation of an optimized crystal structure of Na3InFe, from Alexandria. Values from VASP.

Summary:
The value obtained for the formation energy is 803.7 meV/atom. Its space-group type is Pm-3m (221). As for the spin magnetization: 2.953 μB/cell. Its energy above the most stable polymorph in this dataset is 0.0 meV per atom.

The structure in Quantum ESPRESSO input format:
```
&SYSTEM
  ibrav = 0, nat = 5, ntyp = 3
/
ATOMIC_SPECIES
Na 22.99 Na.upf
In 114.82 In.upf
Fe 55.84 Fe.upf
ATOMIC_POSITIONS crystal
Na 0.0000 0.0000 0.5000
Na 0.0000 0.5000 0.0000
Na 0.5000 0.0000 0.0000
In 0.5000 0.5000 0.5000
Fe 0.0000 0.0000 0.0000
CELL_PARAMETERS angstrom
5.4795 0.0000 0.0000
0.0000 5.4795 0.0000
0.0000 0.0000 5.4795
```

No. 3
The following is a PBE-GGA calculation of an optimized crystal structure of HgAsRu3, from Alexandria. Values from VASP.

Summary:
The value obtained for the formation energy is 858.7 meV/atom. Its space-group type is Pm-3m (221). As for the spin magnetization: 2.972 μB/cell. Its energy above the most stable polymorph in this dataset is 0.0 meV per atom.

The structure in Quantum ESPRESSO input format:
```
&SYSTEM
  ibrav = 0, nat = 5, ntyp = 3
/
ATOMIC_SPECIES
Hg 200.59 Hg.upf
As 74.92 As.upf
Ru 101.07 Ru.upf
ATOMIC_POSITIONS crystal
Hg 0.0000 0.0000 0.0000
As 0.5000 0.5000 0.5000
Ru 0.0000 0.5000 0.5000
Ru 0.5000 0.0000 0.5000
Ru 0.5000 0.5000 0.0000
CELL_PARAMETERS angstrom
4.5557 0.0000 0.0000
0.0000 4.5557 0.0000
0.0000 0.0000 4.5557
```

> Look up the energy above the most stable polymorph in this dataset of the first one.

118.3 meV per atom

> Look up the energy above the most stable polymorph in this dataset of the first one.

118.3 meV per atom

Repeat the first record exactly.
The following is a PBE-GGA calculation of an optimized crystal structure of VPt2Rh6, from Alexandria. Values from VASP.

Summary:
The value obtained for the formation energy is 32.1 meV/atom. Its space-group type is C2/m (12). As for the spin magnetization: 0.000 μB/cell. Its energy above the most stable polymorph in this dataset is 118.3 meV per atom.

The structure in Quantum ESPRESSO input format:
```
&SYSTEM
  ibrav = 0, nat = 9, ntyp = 3
/
ATOMIC_SPECIES
V 50.94 V.upf
Pt 195.08 Pt.upf
Rh 102.91 Rh.upf
ATOMIC_POSITIONS crystal
V 0.0000 0.0000 0.0000
Pt 0.3542 0.3542 0.7024
Pt 0.6458 0.6458 0.2976
Rh 0.0636 0.0636 0.7966
Rh 0.1145 0.1145 0.5406
Rh 0.2471 0.2471 0.1403
Rh 0.7529 0.7529 0.8597
Rh 0.8855 0.8855 0.4594
Rh 0.9364 0.9364 0.2034
CELL_PARAMETERS angstrom
6.6896 -1.3578 0.0000
6.6896 1.3578 0.0000
-4.8710 0.0000 7.4236
```